1.
Entry from Alexandria: crystalline Cd8Ag6Pd at its relaxed geometry (PBE).

Unit cell a=7.3938 b=7.3938 c=7.3938 alpha=61.63 beta=61.63 gamma=61.63
Last column: nearest neighbours and their distance in Å.
Atoms (fractional coordinates):
Cd 0.0844 0.0844 0.0844  6 Ag 2.86-3.13, 4 Cd 2.90-3.02
Cd 0.1676 0.6250 0.3254  3 Ag 2.84-3.04, 1 Pd 2.88, 6 Cd 2.90-3.16
Cd 0.3254 0.1676 0.6250  3 Ag 2.84-3.04, 1 Pd 2.88, 6 Cd 2.90-3.16
Cd 0.3750 0.6746 0.8324  3 Ag 2.84-3.04, 1 Pd 2.88, 6 Cd 2.90-3.16
Cd 0.6250 0.3254 0.1676  3 Ag 2.84-3.04, 1 Pd 2.88, 6 Cd 2.90-3.16
Cd 0.6746 0.8324 0.3750  3 Ag 2.84-3.04, 1 Pd 2.88, 6 Cd 2.90-3.16
Cd 0.8324 0.3750 0.6746  3 Ag 2.84-3.04, 1 Pd 2.88, 6 Cd 2.90-3.16
Cd 0.9156 0.9156 0.9156  6 Ag 2.86-3.13, 4 Cd 2.90-3.02
Ag 0.0368 0.5633 0.7741  5 Cd 2.84-3.13, 3 Ag 2.85-3.11, 1 Pd 2.97
Ag 0.2259 0.9632 0.4367  5 Cd 2.84-3.13, 3 Ag 2.85-3.11, 1 Pd 2.97
Ag 0.4367 0.2259 0.9632  5 Cd 2.84-3.13, 3 Ag 2.85-3.11, 1 Pd 2.97
Ag 0.5633 0.7741 0.0368  5 Cd 2.84-3.13, 3 Ag 2.85-3.11, 1 Pd 2.97
Ag 0.7741 0.0368 0.5633  5 Cd 2.84-3.13, 3 Ag 2.85-3.11, 1 Pd 2.97
Ag 0.9632 0.4367 0.2259  5 Cd 2.84-3.13, 3 Ag 2.85-3.11, 1 Pd 2.97
Pd 0.5000 0.5000 0.5000  6 Cd 2.88, 6 Ag 2.97

Computed properties:
- Formation enthalpy at 0 K: -0.77 kcal/mol of atoms
- Crystal system: trigonal
- Excess energy over the best structure of this formula in the dataset: 0 meV/atom
- SG: No. 148

2.
Entry from Alexandria: crystalline BaInGaW2 at its relaxed geometry (PBE).

Unit cell a=6.8759 b=6.8759 c=9.3309 alpha=90.00 beta=90.00 gamma=90.00
Last column: nearest neighbours and their distance in Å.
Atoms (fractional coordinates):
Ba 0.0000 0.0000 0.0000  4 W 3.44
In 0.0000 0.0000 0.5000  2 Ba 4.67, 4 Ga 4.86
Ga 0.5000 0.5000 0.5000  4 In 4.86
W 0.0000 0.5000 0.0000  2 Ba 3.44
W 0.5000 0.0000 0.0000  2 Ba 3.44

Computed properties:
- Formation enthalpy at 0 K: 81.32 kcal/mol of atoms
- Crystal system: tetragonal
- SG: No. 123